Record 1
# Eu3RhN

A relaxed Eu3RhN crystal (PBE, Alexandria).

The structure in POSCAR format:
```
Eu3RhN
1.0
4.9049 0.0000 0.0000
0.0000 4.9049 0.0000
0.0000 0.0000 4.9049
Eu Rh N
3 1 1
direct
0.0000 0.5000 0.0000
0.0000 0.0000 0.5000
0.5000 0.0000 0.0000
0.5000 0.5000 0.5000
0.0000 0.0000 0.0000
```

Values from the calculation:
**Uncorrected formation energy**: -0.486 eV/atom
**DOS(E_F)**: 4.7 states/eV/f.u.
**Total DFT energy (no corrections)**: -48.93 eV/cell

Record 2
# Eu2RhN

A relaxed Eu2RhN crystal (PBE, Alexandria).

The structure in POSCAR format:
```
Eu2RhN
1.0
3.5529 0.0000 0.0000
1.7765 3.0769 0.0000
1.7765 1.0256 7.1579
Eu Rh N
2 1 1
direct
0.2335 0.2335 0.2995
0.7665 0.7665 0.7005
0.0000 0.0000 0.0000
0.5000 0.5000 0.5000
```

Values from the calculation:
**Uncorrected formation energy**: -0.523 eV/atom
**DOS(E_F)**: 6.3 states/eV/f.u.
**Total DFT energy (no corrections)**: -38.32 eV/cell

Record 3
# EuRuN

A relaxed EuRuN crystal (PBE, Alexandria).

The structure in POSCAR format:
```
EuRuN
1.0
-0.7027 -0.9482 -3.1291
0.1029 -2.2714 2.4524
-4.8953 0.7273 0.8790
Eu Ru N
1 1 1
direct
0.0000 0.0000 0.0690
0.3333 0.6667 0.5300
0.6667 0.3333 0.4010
```

Values from the calculation:
**Relative energy among the computed polymorphs**: 0.000 eV/atom
**Uncorrected formation energy**: -0.196 eV/atom
**DOS(E_F)**: 5.2 states/eV/f.u.
**Total DFT energy (no corrections)**: -28.46 eV/cell

Record 4
# Eu3Ru5N12

A relaxed Eu3Ru5N12 crystal (PBE, Alexandria).

The structure in POSCAR format:
```
Eu3Ru5N12
1.0
-4.0814 7.7854 6.7652
-6.8952 -1.4363 -8.5692
1.0382 -9.5471 5.5509
Eu Ru N
12 20 48
direct
0.7500 0.3750 0.1250
0.8750 0.7500 0.1250
0.3750 0.7500 0.6250
0.2500 0.1250 0.3750
0.8750 0.1250 0.2500
0.3750 0.6250 0.2500
0.6250 0.3750 0.7500
0.1250 0.8750 0.7500
0.7500 0.8750 0.6250
0.6250 0.2500 0.3750
0.1250 0.2500 0.8750
0.2500 0.6250 0.8750
0.1250 0.3750 0.2500
0.0000 0.5000 0.0000
0.0000 0.0000 0.0000
0.3750 0.2500 0.1250
0.5000 0.0000 0.5000
0.5000 0.5000 0.0000
0.1250 0.7500 0.3750
0.7500 0.1250 0.8750
0.7500 0.6250 0.3750
0.3750 0.1250 0.7500
0.6250 0.8750 0.2500
0.5000 0.5000 0.5000
0.5000 0.0000 0.0000
0.0000 0.0000 0.5000
0.2500 0.3750 0.6250
0.2500 0.8750 0.1250
0.0000 0.5000 0.5000
0.8750 0.2500 0.6250
0.6250 0.7500 0.8750
0.8750 0.6250 0.7500
0.6938 0.1132 0.0102
0.3164 0.5102 0.3969
0.9898 0.3868 0.3062
0.5102 0.1938 0.1132
0.5806 0.6938 0.6836
0.9898 0.6031 0.1836
0.3164 0.8062 0.4194
0.1031 0.9194 0.1132
0.6031 0.9898 0.6836
0.6938 0.5806 0.1836
0.8062 0.4898 0.3868
0.8164 0.8969 0.0102
0.1132 0.6938 0.5102
0.3868 0.3969 0.0806
0.0806 0.8969 0.3868
0.4194 0.1132 0.6031
0.0806 0.1836 0.1938
0.4898 0.6836 0.1031
0.8164 0.9194 0.3062
0.1132 0.4194 0.1031
0.3868 0.9898 0.8062
0.6031 0.6132 0.4194
0.8969 0.8164 0.5102
0.8062 0.3164 0.9194
0.3969 0.3868 0.5806
0.1031 0.1836 0.4898
0.1938 0.6836 0.0806
0.1836 0.0806 0.6938
0.6132 0.0102 0.1938
0.8868 0.5806 0.8969
0.5102 0.3164 0.8969
0.5806 0.8868 0.3969
0.9194 0.8164 0.8062
0.9194 0.1031 0.6132
0.8868 0.3062 0.4898
0.1836 0.1031 0.9898
0.6132 0.6031 0.9194
0.3969 0.0102 0.3164
0.3062 0.4194 0.8164
0.1938 0.5102 0.6132
0.8969 0.0806 0.8868
0.6836 0.1938 0.5806
0.4898 0.8062 0.8868
0.0102 0.3969 0.8164
0.4194 0.3062 0.3164
0.0102 0.6132 0.6938
0.6836 0.4898 0.6031
0.3062 0.8868 0.9898
```

Values from the calculation:
**Uncorrected formation energy**: 0.005 eV/atom
**DOS(E_F)**: 12.7 states/eV/f.u.
**Total DFT energy (no corrections)**: -708.04 eV/cell